1.
## Li2Ga5Pd (PBE-GGA)

Data for an optimized crystal structure of Li2Ga5Pd.

Cell: 4.560 12.738 4.990 Å, 90.00 112.69 90.00°
Space group P2_1/m (No. 11)
Symmetry-distinct sites (fractional):
Li (0.219, 0.136, 0.449)
Ga (0.080, 0.587, 0.160)
Ga (0.370, 0.559, 0.757)
Ga (0.485, 0.250, 0.942)
Pd (0.262, 0.750, 0.487)

- Calculated formation energy: -218 kJ/mol of formula units
- Excess energy over the best structure of this formula in the dataset: 0.0179 eV per atom
- Fermi-level density of states: 0.196 states/eV/atom

2.
## Li3Ga6Pd (PBE-GGA)

Data for an optimized crystal structure of Li3Ga6Pd.

Cell: 7.492 4.498 10.053 Å, 90.00 109.89 90.00°
Space group P2_1/m (No. 11)
Symmetry-distinct sites (fractional):
Li (0.088, 0.250, 0.226)
Li (0.302, 0.250, 0.021)
Li (0.309, 0.750, 0.369)
Ga (0.081, 0.250, 0.715)
Ga (0.085, 0.750, 0.071)
Ga (0.282, 0.250, 0.523)
Ga (0.307, 0.750, 0.853)
Ga (0.477, 0.750, 0.164)
Ga (0.500, 0.250, 0.341)
Pd (0.113, 0.750, 0.573)

- Calculated formation energy: -316 kJ/mol of formula units
- Excess energy over the best structure of this formula in the dataset: 0.0000 eV per atom
- Fermi-level density of states: 0.260 states/eV/atom

Please write out number 2 again, unchanged.
## Li3Ga6Pd (PBE-GGA)

Data for an optimized crystal structure of Li3Ga6Pd.

Cell: 7.492 4.498 10.053 Å, 90.00 109.89 90.00°
Space group P2_1/m (No. 11)
Symmetry-distinct sites (fractional):
Li (0.088, 0.250, 0.226)
Li (0.302, 0.250, 0.021)
Li (0.309, 0.750, 0.369)
Ga (0.081, 0.250, 0.715)
Ga (0.085, 0.750, 0.071)
Ga (0.282, 0.250, 0.523)
Ga (0.307, 0.750, 0.853)
Ga (0.477, 0.750, 0.164)
Ga (0.500, 0.250, 0.341)
Pd (0.113, 0.750, 0.573)

- Calculated formation energy: -316 kJ/mol of formula units
- Excess energy over the best structure of this formula in the dataset: 0.0000 eV per atom
- Fermi-level density of states: 0.260 states/eV/atom